No. 1
This record from the Alexandria database describes a relaxed structure of Rb3Na3MnCl8. The functional is PBE-GGA.

abc: 14.4917 8.3560 8.9100
angles: 90.00 122.87 90.00
With the nearest neighbours (Å) after each atom.
Space group C2/m (No. 12)
Inequivalent atoms, fractional coordinates:
Rb 0.0000 0.0000 0.0000 (multiplicity 2)  6 Cl 3.26
Rb 0.2500 0.2500 0.0000 (multiplicity 4)  6 Cl 3.26
Na 0.0000 0.5000 0.5000 (multiplicity 2)  6 Cl 2.87-2.92
Na 0.2500 0.2500 0.5000 (multiplicity 4)  6 Cl 2.87-2.92
Mn 0.0000 0.0000 0.5000 (multiplicity 2)  6 Cl 2.60
Cl 0.0110 0.2244 0.3090 (multiplicity 8)  1 Mn 2.60
Cl 0.2132 0.0000 0.6910 (multiplicity 4)  1 Mn 2.60
Cl 0.2359 0.5000 0.7073 (multiplicity 4)  3 Na 2.87

Values from the calculation:
Its crystal system is monoclinic. The raw total energy is -3.75 eV per atom. The value obtained for the formation energy without anion corrections is -1.7013 eV/atom.

=====

No. 2
This record from the Alexandria database describes a relaxed structure of Rb3NaMn2Cl8. The functional is PBE-GGA.

abc: 7.4471 7.4471 9.3588
angles: 90.00 90.00 120.00
With the nearest neighbours (Å) after each atom.
Space group P-3m1 (No. 164)
Inequivalent atoms, fractional coordinates:
Rb 0.0000 0.0000 0.0000 (multiplicity 1)  6 Cl 3.65
Rb 0.3333 0.6667 0.6230 (multiplicity 2)  1 Cl 3.16
Na 0.0000 0.0000 0.5000 (multiplicity 1)  6 Cl 2.78
Mn 0.3333 0.6667 0.2055 (multiplicity 2)  4 Cl 2.29-2.37
Cl 0.1677 0.3353 0.3141 (multiplicity 6)  1 Mn 2.37
Cl 0.3333 0.6667 0.9608 (multiplicity 2)  1 Mn 2.29

Values from the calculation:
Its crystal system is trigonal. The raw total energy is -4.25 eV per atom. The value obtained for the formation energy without anion corrections is -1.5792 eV/atom.

=====

No. 3
This record from the Alexandria database describes a relaxed structure of RbNa2MnCl6. The functional is PBE-GGA.

abc: 6.9307 7.0769 7.4729
angles: 89.84 62.38 63.86
With the nearest neighbours (Å) after each atom.
Space group P1 (No. 1)
Inequivalent atoms, fractional coordinates:
Rb 0.0000 0.0000 0.0000 (multiplicity 1)  4 Cl 3.14-3.36
Na 0.5668 0.7265 0.1659 (multiplicity 1)  5 Cl 2.75-3.05
Na 0.5866 0.1871 0.6072 (multiplicity 1)  4 Cl 2.69-2.80
Mn 0.9553 0.5164 0.5773 (multiplicity 1)  4 Cl 2.31-2.33
Cl 0.1005 0.5436 0.7963 (multiplicity 1)  1 Mn 2.33
Cl 0.1096 0.7163 0.3700 (multiplicity 1)  1 Mn 2.31
Cl 0.4084 0.1370 0.3636 (multiplicity 1)  2 Na 2.73-2.75, 1 Mn 2.75
Cl 0.5561 0.8881 0.8253 (multiplicity 1)  1 Mn 2.62, 2 Na 2.69-2.81
Cl 0.7490 0.3588 0.8060 (multiplicity 1)  1 Mn 2.31
Cl 0.8235 0.4466 0.3637 (multiplicity 1)  1 Mn 2.32

Values from the calculation:
Its crystal system is triclinic. The raw total energy is -3.86 eV per atom. The value obtained for the formation energy without anion corrections is -1.4720 eV/atom.

=====

No. 4
This record from the Alexandria database describes a relaxed structure of NaMnS2Cl. The functional is PBE-GGA.

abc: 4.8620 4.8620 4.9896
angles: 90.00 90.00 90.00
With the nearest neighbours (Å) after each atom.
Space group P4/mmm (No. 123)
Inequivalent atoms, fractional coordinates:
Na 0.0000 0.0000 0.0000 (multiplicity 1)  4 S 2.43, 2 Cl 2.49
Mn 0.5000 0.5000 0.5000 (multiplicity 1)  4 Cl 3.44, 8 S 3.48
S 0.0000 0.5000 0.0000 (multiplicity 2)  2 Na 2.43
Cl 0.0000 0.0000 0.5000 (multiplicity 1)  2 Na 2.49

Values from the calculation:
The calculation puts the energy above the most stable polymorph in this dataset at 463 kJ/mol of formula units. Its crystal system is tetragonal. The raw total energy is -3.62 eV per atom. The value obtained for the formation energy without anion corrections is 0.4994 eV/atom.

=====

No. 5
This record from the Alexandria database describes a relaxed structure of NaMnS2Cl. The functional is PBE-GGA.

abc: 4.3398 4.3398 5.3414
angles: 90.00 90.00 90.00
With the nearest neighbours (Å) after each atom.
Space group P4/mmm (No. 123)
Inequivalent atoms, fractional coordinates:
Na 0.0000 0.0000 0.0000 (multiplicity 1)  4 Cl 3.07
Mn 0.5000 0.5000 0.5000 (multiplicity 1)  4 S 2.17
S 0.0000 0.5000 0.5000 (multiplicity 2)  2 Mn 2.17
Cl 0.5000 0.5000 0.0000 (multiplicity 1)  2 Mn 2.67

Values from the calculation:
The calculation puts the energy above the most stable polymorph in this dataset at 0 kJ/mol of formula units. Its crystal system is tetragonal. The raw total energy is -4.58 eV per atom. The value obtained for the formation energy without anion corrections is -0.4593 eV/atom.

=====

No. 6
This record from the Alexandria database describes a relaxed structure of NaScMnCl6. The functional is PBE-GGA.

abc: 6.2053 6.2053 12.7736
angles: 90.00 90.00 120.00
With the nearest neighbours (Å) after each atom.
Space group P-31c (No. 163)
Inequivalent atoms, fractional coordinates:
Na 0.0000 0.0000 0.0000 (multiplicity 2)  6 Cl 2.86
Sc 0.3333 0.6667 0.2500 (multiplicity 2)  6 Cl 2.51
Mn 0.3333 0.6667 0.7500 (multiplicity 2)  6 Cl 2.36
Cl 0.0184 0.3681 0.6406 (multiplicity 12)  1 Mn 2.36, 1 Sc 2.51

Values from the calculation:
Its crystal system is trigonal. The raw total energy is -4.56 eV per atom. The value obtained for the formation energy without anion corrections is -1.4627 eV/atom.

=====

No. 7
This record from the Alexandria database describes a relaxed structure of NaMnSnCl6. The functional is PBE-GGA.

abc: 6.6464 6.6464 6.0156
angles: 90.00 90.00 120.00
With the nearest neighbours (Å) after each atom.
Space group P312 (No. 149)
Inequivalent atoms, fractional coordinates:
Na 0.0000 0.0000 0.0000 (multiplicity 1)  6 Cl 2.77
Mn 0.3333 0.6667 0.0000 (multiplicity 1)  6 Cl 2.43
Sn 0.6667 0.3333 0.5000 (multiplicity 1)  6 Cl 2.80
Cl 0.0315 0.3726 0.2349 (multiplicity 6)  1 Mn 2.43

Values from the calculation:
Its crystal system is trigonal. The raw total energy is -3.97 eV per atom. The value obtained for the formation energy without anion corrections is -1.1331 eV/atom.

=====

No. 8
This record from the Alexandria database describes a relaxed structure of Na2MnSnCl6. The functional is PBE-GGA.

abc: 6.9581 6.9581 18.6962
angles: 90.00 90.00 120.00
With the nearest neighbours (Å) after each atom.
Space group R3 (No. 146, hexagonal axes)
Inequivalent atoms, fractional coordinates:
Na 0.0000 0.0000 0.0000 (multiplicity 3)  6 Cl 2.78-2.91
Na 0.0000 0.0000 0.4936 (multiplicity 3)  6 Cl 2.81-2.92
Mn 0.0000 0.0000 0.6960 (multiplicity 3)  6 Cl 2.51-2.61
Sn 0.0000 0.0000 0.1997 (multiplicity 3)  6 Cl 2.79-2.95
Cl 0.0096 0.3729 0.4313 (multiplicity 9)  1 Mn 2.51
Cl 0.0501 0.6790 0.2735 (multiplicity 9)  1 Mn 2.61, 2 Na 2.78-2.92, 1 Sn 2.79

Values from the calculation:
Its crystal system is trigonal. The raw total energy is -4.02 eV per atom. The value obtained for the formation energy without anion corrections is -1.3349 eV/atom.

=====

Which formula does entry 3 have?
RbNa2MnCl6

=====

Copy entry 5 word for word.
This record from the Alexandria database describes a relaxed structure of NaMnS2Cl. The functional is PBE-GGA.

abc: 4.3398 4.3398 5.3414
angles: 90.00 90.00 90.00
With the nearest neighbours (Å) after each atom.
Space group P4/mmm (No. 123)
Inequivalent atoms, fractional coordinates:
Na 0.0000 0.0000 0.0000 (multiplicity 1)  4 Cl 3.07
Mn 0.5000 0.5000 0.5000 (multiplicity 1)  4 S 2.17
S 0.0000 0.5000 0.5000 (multiplicity 2)  2 Mn 2.17
Cl 0.5000 0.5000 0.0000 (multiplicity 1)  2 Mn 2.67

Values from the calculation:
The calculation puts the energy above the most stable polymorph in this dataset at 0 kJ/mol of formula units. Its crystal system is tetragonal. The raw total energy is -4.58 eV per atom. The value obtained for the formation energy without anion corrections is -0.4593 eV/atom.

=====

Which of these has the lowest formation energy without anion corrections?
Rb3Na3MnCl8